[1]
This record from Alexandria describes a geometry-optimized Re2PbSe structure. The functional is GGA-PBE.

abc: 3.0529 3.0529 26.3848
angles: 90.00 90.00 120.00
Last column: nearest neighbours and their distance in Å.
Space group R-3m (No. 166, hexagonal axes)
Inequivalent atoms, fractional coordinates:
1 Re 0.0000 0.0000 0.2379 x6  3 Se 2.58
2 Pb 0.0000 0.0000 0.0000 x3  6 Pb 3.05, 6 Re 3.07
3 Se 0.0000 0.0000 0.5000 x3  6 Re 2.58

Output
The total energy comes out at -7.1109 eV per atom. As for the density: 15.4 g/cm³.



[2]
This record from Alexandria describes a geometry-optimized RePbSe2 structure. The functional is GGA-PBE.

abc: 11.9755 3.1545 5.9405
angles: 90.00 112.77 90.00
Last column: nearest neighbours and their distance in Å.
Space group Cm (No. 8)
Inequivalent atoms, fractional coordinates:
1 Re 0.0000 0.0000 0.0000 x2  4 Se 2.44-2.45
2 Pb 0.3082 0.0000 0.6043 x2  2 Re 3.02, 2 Pb 3.15, 1 Se 3.23
3 Se 0.1467 0.5000 0.9585 x2  2 Re 2.44
4 Se 0.4788 0.0000 0.2966 x2  2 Re 2.45

Output
The total energy comes out at -5.6674 eV per atom. As for the density: 8.8 g/cm³.



[3]
This record from Alexandria describes a geometry-optimized Re2PbSe structure. The functional is GGA-PBE.

abc: 6.6414 6.6414 6.6414
angles: 90.00 90.00 90.00
Last column: nearest neighbours and their distance in Å.
Space group F-43m (No. 216)
Inequivalent atoms, fractional coordinates:
1 Re 0.0000 0.0000 0.0000 x4  4 Re 2.88, 4 Se 2.88
2 Re 0.2500 0.2500 0.2500 x4  4 Pb 2.88, 4 Re 2.88
3 Pb 0.0000 0.0000 0.5000 x4  4 Se 2.88, 4 Re 2.88
4 Se 0.2500 0.2500 0.7500 x4  4 Pb 2.88, 4 Re 2.88

Output
The total energy comes out at -6.8057 eV per atom. As for the density: 14.9 g/cm³.



no.,density of states at the Fermi level (states/eV per atom),formation energy from raw total energies (eV/atom)
1,0.908,0.9114
2,0.615,0.1139
3,0.988,1.2166